# 1
This record from Alexandria via LeMat-Bulk describes a relaxed structure of Na12Tl6Ni. The functional is PBE.

a b c (Å): 8.472 8.472 8.472
angles (deg): 77.51 77.51 77.51
Positions (direct):
Na1 0.192 0.536 0.536
Na2 0.536 0.536 0.192
Na3 0.464 0.808 0.464
Na4 0.464 0.464 0.808
Na5 0.536 0.192 0.536
Na6 0.132 0.132 0.492
Na7 0.508 0.868 0.868
Na8 0.492 0.132 0.132
Na9 0.868 0.508 0.868
Na10 0.808 0.464 0.464
Na11 0.132 0.492 0.132
Na12 0.868 0.868 0.508
Tl1 0.794 0.794 0.140
Tl2 0.206 0.860 0.206
Tl3 0.860 0.206 0.206
Tl4 0.206 0.206 0.860
Tl5 0.140 0.794 0.794
Tl6 0.794 0.140 0.794
Ni1 0.000 0.000 0.000

The calculation puts the formation energy at -0.9 eV per formula unit.

# 2
This record from Alexandria via LeMat-Bulk describes a relaxed structure of NaTlNi4. The functional is PBE.

a b c (Å): 4.955 4.955 4.955
angles (deg): 60.00 60.00 60.00
Last column: magnetic moment on the atom in μB.
Positions (direct):
Tl1 0.250 0.250 0.250  0.00
Ni1 0.625 0.125 0.625  0.43
Ni2 0.625 0.625 0.125  0.43
Ni3 0.125 0.625 0.625  0.43
Ni4 0.625 0.625 0.625  0.43
Na1 0.000 0.000 0.000  0.00

The calculation puts the formation energy at 1.0 eV per formula unit.

# 3
This record from Alexandria via LeMat-Bulk describes a relaxed structure of NaTl2Ni2. The functional is PBE.

a b c (Å): 4.907 4.907 5.581
angles (deg): 63.92 63.92 90.00
Positions (direct):
Tl1 0.750 0.250 0.500
Tl2 0.250 0.750 0.500
Na1 0.000 0.000 0.000
Ni1 0.368 0.368 0.263
Ni2 0.632 0.632 0.737

The calculation puts the formation energy at 1.2 eV per formula unit.

# 4
This record from Alexandria via LeMat-Bulk describes a relaxed structure of NaTl2Ni2. The functional is PBE.

a b c (Å): 3.477 3.477 9.240
angles (deg): 79.15 79.15 90.00
Positions (direct):
Na1 0.000 0.000 0.000
Tl1 0.633 0.633 0.735
Tl2 0.367 0.367 0.265
Ni1 0.750 0.250 0.500
Ni2 0.250 0.750 0.500

The calculation puts the formation energy at 0.7 eV per formula unit.

# 5
This record from Alexandria via LeMat-Bulk describes a relaxed structure of NaTl2Ni2. The functional is PBE.

a b c (Å): 7.870 7.870 3.052
angles (deg): 90.00 90.00 90.00
Positions (direct):
Tl1 0.345 0.845 0.000
Tl2 0.655 0.155 0.000
Tl3 0.155 0.345 0.000
Tl4 0.845 0.655 0.000
Ni1 0.860 0.360 0.500
Ni2 0.140 0.640 0.500
Ni3 0.360 0.140 0.500
Ni4 0.640 0.860 0.500
Na1 0.500 0.500 0.000
Na2 0.000 0.000 0.000

The calculation puts the formation energy at 1.1 eV per formula unit.

# 6
This record from Alexandria via LeMat-Bulk describes a relaxed structure of NaTl2Ni2. The functional is PBE.

a b c (Å): 7.549 7.549 3.254
angles (deg): 90.00 90.00 90.00
Positions (direct):
Tl1 0.328 0.172 0.500
Tl2 0.672 0.828 0.500
Tl3 0.172 0.672 0.500
Tl4 0.828 0.328 0.500
Ni1 0.122 0.378 0.000
Ni2 0.378 0.878 0.000
Ni3 0.622 0.122 0.000
Ni4 0.878 0.622 0.000
Na1 0.500 0.500 0.000
Na2 0.000 0.000 0.000

The calculation puts the formation energy at 0.8 eV per formula unit.

# 7
This record from Alexandria via LeMat-Bulk describes a relaxed structure of Na3TlNi. The functional is PBE.

a b c (Å): 5.326 5.326 5.326
angles (deg): 90.00 90.00 90.00
Positions (direct):
Na1 0.500 0.000 0.000
Na2 0.000 0.000 0.500
Na3 0.000 0.500 0.000
Ni1 0.000 0.000 0.000
Tl1 0.500 0.500 0.500

The calculation puts the formation energy at 2.2 eV per formula unit.

# 8
This record from Alexandria via LeMat-Bulk describes a relaxed structure of NaTlZn2Ni. The functional is PBE.

a b c (Å): 4.722 4.722 4.983
angles (deg): 90.00 90.00 90.00
Positions (direct):
Zn1 0.500 0.000 0.000
Zn2 0.000 0.500 0.000
Ni1 0.000 0.000 0.000
Na1 0.500 0.500 0.500
Tl1 0.000 0.000 0.500

The calculation puts the formation energy at 0.2 eV per formula unit.